{"formula": "LiCe3N4", "functional": "GGA-PBE", "state": "optimized geometry", "lattice_angstrom": [[4.922, 0.000, 0.000], [0.000, 4.922, 0.000], [0.000, 0.000, 4.922]], "species": ["Ce", "N", "Ce", "N", "Li", "Ce", "N", "N"], "fractional_positions": [[0.500, 0.000, 0.500], [0.000, 0.500, 0.000], [0.000, 0.500, 0.500], [0.000, 0.000, 0.500], [0.000, 0.000, 0.000], [0.500, 0.500, 0.000], [0.500, 0.000, 0.000], [0.500, 0.500, 0.500]], "density_g_cm3": 6.731, "n_ef_per_ev_cell": 5.72, "total_magnetization_mub_per_fu": 0.0, "formation_energy_uncorrected_mev_per_atom": -1136}